Below is ErNi4Ge after structural relaxation, with properties calculated at the GGA-PBE level.

Summary:
ΔE to the lowest computed polymorph, meV/atom: 16
Energy of formation, eV/atom: -0.35
Spin magnetization, μB per atom: 0.0000

a b c (Å): 4.8878 4.8878 4.8878
angles (deg): 60.00 60.00 60.00
Fractional coordinates of all 6 atoms:
Er (0.0000, 0.0000, 0.0000)
Ge (0.2500, 0.2500, 0.2500)
Ni (0.6243, 0.1270, 0.6243)
Ni (0.1270, 0.6243, 0.6243)
Ni (0.6243, 0.6243, 0.6243)
Ni (0.6243, 0.6243, 0.1270)